Computed, not measured: crystalline AcLa3Hg6 at its relaxed geometry at the PBE level of DFT.

```
AcLa3Hg6
1.0
-2.138 3.920 3.036
-7.347 -5.938 2.494
8.515 -1.520 7.959
Hg Ac La
12 2 6
Direct
0.750 0.173 0.689
0.750 0.940 0.090
0.750 0.540 0.909
0.750 0.352 0.288
0.250 0.460 0.091
0.250 0.060 0.910
0.750 0.748 0.483
0.250 0.648 0.712
0.250 0.147 0.199
0.750 0.853 0.801
0.250 0.252 0.517
0.250 0.827 0.311
0.750 0.066 0.380
0.250 0.934 0.620
0.750 0.648 0.199
0.250 0.352 0.801
0.250 0.774 0.997
0.750 0.495 0.616
0.250 0.505 0.384
0.750 0.226 0.003
```

Values from the calculation:
spin magnetization: 0.000 μB/f.u.
ΔH_f (0 K): -0.464 eV per atom
calculated total energy: -50.683 eV per cell
crystal system: monoclinic

Computed, not measured: crystalline AcLaHg2 at its relaxed geometry at the PBE level of DFT.

```
AcLaHg2
1.0
-0.196 4.019 -0.364
-0.929 1.663 -3.563
-9.810 1.645 1.034
Hg Ac La
2 1 1
Direct
0.253 0.253 0.241
0.747 0.747 0.759
0.500 0.500 0.500
0.000 0.000 0.000
```

Values from the calculation:
spin magnetization: 0.000 μB/f.u.
ΔH_f (0 K): -0.326 eV per atom
calculated total energy: -10.945 eV per cell
crystal system: trigonal

Computed, not measured: crystalline AcLaHg4 at its relaxed geometry at the PBE level of DFT.

```
AcLaHg4
1.0
4.812 0.002 1.770
2.396 5.789 0.905
0.442 -1.051 6.226
La Hg Ac
1 4 1
Direct
0.000 0.000 0.000
0.742 0.591 0.925
0.742 0.925 0.591
0.258 0.075 0.409
0.258 0.409 0.075
0.500 0.500 0.500
```

Values from the calculation:
spin magnetization: 0.000 μB/f.u.
ΔH_f (0 K): -0.477 eV per atom
calculated total energy: -13.106 eV per cell
energy above the most stable polymorph in this dataset: 0.000 eV/atom
crystal system: orthorhombic

Computed, not measured: crystalline AcLaHg2 at its relaxed geometry at the PBE level of DFT.

```
AcLaHg2
1.0
3.982 0.000 0.000
0.000 3.982 0.000
0.000 0.000 7.949
Ac Hg La
1 2 1
Direct
0.500 0.500 0.500
0.000 0.000 0.764
0.000 0.000 0.236
0.500 0.500 0.000
```

Values from the calculation:
spin magnetization: 0.618 μB/f.u.
ΔH_f (0 K): -0.486 eV per atom
calculated total energy: -11.583 eV per cell
crystal system: tetragonal